Material: Os2SBr
Method: DFT, PBE
State: relaxed

As for the energy relative to the elements, uncorrected: 1.360 eV per atom. For the polymorph energy (0 for the lowest one), the calculation gives 13.09 kcal/mol of atoms. Its total energy is -5.70 eV/atom.

a = 6.221 Å, b = 6.221 Å, c = 6.221 Å
α = 90.00°, β = 90.00°, γ = 90.00°
Space group Fm-3m (No. 225)
Symmetry-distinct sites (fractional):
Os  0.250  0.250  0.250
S  0.000  0.000  0.000
Br  0.000  0.000  0.500

=====

Material: OsSBr3
Method: DFT, PBE
State: relaxed

As for the energy relative to the elements, uncorrected: 0.893 eV per atom. For the polymorph energy (0 for the lowest one), the calculation gives 21.19 kcal/mol of atoms. Its total energy is -3.18 eV/atom.

a = 4.996 Å, b = 4.996 Å, c = 4.996 Å
α = 90.00°, β = 90.00°, γ = 90.00°
Space group Pm-3m (No. 221)
Symmetry-distinct sites (fractional):
Os  0.000  0.000  0.000
S  0.500  0.500  0.500
Br  0.000  0.000  0.500

=====

Material: OsSBr2
Method: DFT, PBE
State: relaxed

As for the energy relative to the elements, uncorrected: 1.527 eV per atom. For the polymorph energy (0 for the lowest one), the calculation gives 28.12 kcal/mol of atoms. Its total energy is -3.15 eV/atom.

a = 6.627 Å, b = 6.627 Å, c = 6.627 Å
α = 90.00°, β = 90.00°, γ = 90.00°
Space group Fm-3m (No. 225)
Symmetry-distinct sites (fractional):
Os  0.000  0.000  0.000
S  0.000  0.000  0.500
Br  0.250  0.250  0.250